## BaGaGe2Au (GGA-PBE)

Data for a relaxed structure of BaGaGe2Au.

a b c (Å): 4.691 4.691 6.294
angles (deg): 111.88 111.88 90.00
Fractional coordinates of all 5 atoms:
Au: 0.750 0.250 0.500
Ge: 0.623 0.623 0.246
Ge: 0.377 0.377 0.754
Ga: 0.250 0.750 0.500
Ba: 0.000 0.000 0.000

Summary:
space group = I-4m2
energy of formation from the pure elements = -446.5 meV per atom

***

## Sm2Ga4Ni3Au (GGA-PBE)

Data for a relaxed structure of Sm2Ga4Ni3Au.

a b c (Å): 4.134 4.134 10.351
angles (deg): 90.00 90.00 90.00
Fractional coordinates of all 10 atoms:
Ga: 0.000 0.000 0.000
Ga: 0.500 0.500 0.000
Ga: 0.500 0.000 0.645
Ga: 0.000 0.500 0.355
Ni: 0.000 0.500 0.127
Ni: 0.000 0.000 0.500
Ni: 0.500 0.000 0.873
Sm: 0.500 0.000 0.237
Sm: 0.000 0.500 0.763
Au: 0.500 0.500 0.500

Summary:
space group = P-4m2
energy of formation from the pure elements = -581.0 meV per atom

***

## PrAgBr (GGA-PBE)

Data for a relaxed structure of PrAgBr.

a b c (Å): 3.701 7.495 8.918
angles (deg): 125.11 78.02 75.71
Fractional coordinates of all 6 atoms:
Br: 0.752 0.744 0.752
Br: 0.248 0.256 0.248
Ag: 0.078 0.699 0.145
Ag: 0.922 0.301 0.855
Pr: 0.421 0.712 0.445
Pr: 0.579 0.288 0.555

Summary:
ΔE_f (raw) = -0.697 eV per atom
energy above the most stable polymorph in this dataset = 196.5 meV per atom
space group = C2/m

***

## HoU3C4 (GGA-PBE)

Data for a relaxed structure of HoU3C4.

a b c (Å): 3.527 6.096 6.096
angles (deg): 69.75 89.99 89.99
Fractional coordinates of all 8 atoms:
C: 0.500 0.243 0.743
C: 0.000 0.770 0.730
C: 0.000 0.230 0.270
C: 0.499 0.757 0.257
U: 0.000 0.500 0.500
U: 0.500 0.000 0.500
U: 0.000 0.000 0.000
Ho: 0.500 0.500 0.000

Summary:
space group = Cmmm
energy of formation from the pure elements = -178.7 meV per atom

***

## Bi4S5I (GGA-PBE)

Data for a relaxed structure of Bi4S5I.

a b c (Å): 7.172 8.465 10.686
angles (deg): 90.00 90.00 90.00
Fractional coordinates of all 20 atoms:
S: 0.248 0.734 0.194
S: 0.248 0.266 0.194
S: 0.248 0.266 0.806
S: 0.752 0.766 0.694
S: 0.752 0.234 0.694
S: 0.830 0.500 0.000
S: 0.752 0.766 0.306
S: 0.248 0.734 0.806
S: 0.752 0.234 0.306
S: 0.170 0.000 0.500
Bi: 0.538 0.801 0.500
Bi: 0.462 0.301 0.000
Bi: 0.995 0.500 0.774
Bi: 0.005 0.000 0.274
Bi: 0.005 0.000 0.726
Bi: 0.462 0.699 0.000
Bi: 0.538 0.199 0.500
Bi: 0.995 0.500 0.226
I: 0.780 0.000 0.000
I: 0.220 0.500 0.500

Summary:
ΔE_f (raw) = -0.199 eV per atom
space group = Pmmn

***

## InTc3Sb (GGA-PBE)

Data for a relaxed structure of InTc3Sb.

a b c (Å): 4.850 4.850 4.850
angles (deg): 90.00 90.00 90.00
Fractional coordinates of all 5 atoms:
Sb: 0.000 0.000 0.000
In: 0.500 0.500 0.500
Tc: 0.500 0.000 0.000
Tc: 0.000 0.500 0.000
Tc: 0.000 0.000 0.500

Summary:
ΔE_f (raw) = 1.581 eV per atom
energy above the most stable polymorph in this dataset = 0.0 meV per atom
space group = Pm-3m

***

## LaMgOs2 (GGA-PBE)

Data for a relaxed structure of LaMgOs2.

a b c (Å): 5.169 5.169 2.957
angles (deg): 90.00 90.00 106.16
Fractional coordinates of all 4 atoms:
La: 0.500 0.000 0.500
Os: 0.000 0.000 0.000
Os: 0.500 0.500 0.000
Mg: 0.000 0.500 0.500

Summary:
space group = Cmmm
energy of formation from the pure elements = 567.3 meV per atom

***

## NiPtRh2N (GGA-PBE)

Data for a relaxed structure of NiPtRh2N.

a b c (Å): 4.098 4.098 3.773
angles (deg): 90.00 90.00 90.00
Fractional coordinates of all 5 atoms:
Rh: 0.000 0.500 0.000
Rh: 0.500 0.000 0.000
N: 0.000 0.000 0.000
Pt: 0.500 0.500 0.500
Ni: 0.000 0.000 0.500

Summary:
ΔE_f (raw) = 0.199 eV per atom
space group = P4/mmm

***

## Zn2InFe (GGA-PBE)

Data for a relaxed structure of Zn2InFe.

a b c (Å): 3.299 3.299 5.948
angles (deg): 90.00 90.00 90.00
Fractional coordinates of all 4 atoms:
Fe: 0.500 0.500 0.250
Zn: 0.000 0.000 0.043
Zn: 0.000 0.000 0.457
In: 0.500 0.500 0.750

Summary:
space group = P4/mmm
energy of formation from the pure elements = 216.2 meV per atom

***

## CeGdNiPt (GGA-PBE)

Data for a relaxed structure of CeGdNiPt.

a b c (Å): 4.947 4.947 4.947
angles (deg): 60.00 60.00 60.00
Fractional coordinates of all 4 atoms:
Gd: 0.000 0.000 0.000
Ni: 0.250 0.250 0.250
Ce: 0.500 0.500 0.500
Pt: 0.750 0.750 0.750

Summary:
space group = F-43m
energy of formation from the pure elements = -661.6 meV per atom

***

## Mn2BePb (GGA-PBE)

Data for a relaxed structure of Mn2BePb.

a b c (Å): 3.106 3.106 6.472
angles (deg): 90.00 90.00 90.00
Fractional coordinates of all 4 atoms:
Mn: 0.000 0.000 0.974
Mn: 0.500 0.500 0.192
Pb: 0.000 0.000 0.506
Be: 0.500 0.500 0.828

Summary:
energy above the most stable polymorph in this dataset = 0.0 meV per atom
space group = P4mm
energy of formation from the pure elements = 396.3 meV per atom

***

## Nd2ThTlC (GGA-PBE)

Data for a relaxed structure of Nd2ThTlC.

a b c (Å): 5.044 5.166 5.166
angles (deg): 90.00 90.00 90.00
Fractional coordinates of all 5 atoms:
Tl: 0.500 0.500 0.500
C: 0.000 0.000 0.000
Nd: 0.000 0.000 0.500
Nd: 0.000 0.500 0.000
Th: 0.500 0.000 0.000

Summary:
space group = P4/mmm
energy of formation from the pure elements = -276.8 meV per atom

***

We obtain calculated total energy values of -19.7; -48.0; -22.8; -76.8; -79.4; -30.1; -26.7; -33.9; -12.9; -34.5; -24.2; -29.9 eV/cell for the records listed above, in that order.
We obtain V values of 118; 177; 176; 123; 649; 114; 76; 63; 65; 86; 62; 135 Å³ per cell for the records listed above, in that order.